# LiEr4Ni (PBE-GGA, relaxed)
# - E (eV per atom) = -4.1124
# - DOS at the Fermi energy (states/eV/f.u.) = 7.8
# - formation enthalpy at 0 K (eV/atom) = 0.2121
data_LiEr4Ni
_chemical_formula_sum 'Li4 Er16 Ni4'
_cell_length_a 8.5031
_cell_length_b 8.5031
_cell_length_c 9.4714
_cell_angle_alpha 90.00
_cell_angle_beta 90.00
_cell_angle_gamma 90.00
_symmetry_space_group_name_H-M 'I 41 m d'
_symmetry_Int_Tables_number 109
_symmetry_space_group_name_Hall 'I 4bw -2'
loop_
_atom_site_label
_atom_site_type_symbol
_atom_site_fract_x
_atom_site_fract_y
_atom_site_fract_z
_atom_site_occupancy
Li1 Li 0.0000 0.0000 0.0000 1
Er1 Er 0.0000 0.1889 0.2807 1
Er2 Er 0.0000 0.1988 0.7345 1
Ni1 Ni 0.0000 0.0000 0.5044 1